[1]
! PBE ZnH6CI3N3, relaxed; values from VASP
&SYSTEM
  ibrav = 0, nat = 14, ntyp = 5
/
ATOMIC_SPECIES
H 1.01 H.upf
N 14.01 N.upf
I 126.90 I.upf
C 12.01 C.upf
Zn 65.41 Zn.upf
ATOMIC_POSITIONS angstrom
H 0.207 5.899 5.839
H 0.679 7.488 5.316
N 3.990 7.071 0.152
N 0.319 1.233 0.254
I 2.016 0.268 3.892
H 0.635 1.186 7.725
N 0.277 6.892 6.041
H 3.710 7.418 1.070
H 0.132 1.581 1.190
C 0.033 7.341 7.277
I 2.009 3.439 6.857
Zn 2.136 2.819 4.339
I 0.006 4.020 3.074
H 3.660 6.148 -0.129
CELL_PARAMETERS angstrom
4.322 -0.130 0.075
0.067 8.086 -0.785
-0.118 -0.699 8.124
! **Space-group type**: P1 (1)
! **Density of states at the Fermi level**: 0.00 states/eV/f.u.
! **Total energy**: -4.72 eV per atom

---

[2]
! PBE Zn3SnSb, relaxed; values from VASP
&SYSTEM
  ibrav = 0, nat = 5, ntyp = 3
/
ATOMIC_SPECIES
Zn 65.41 Zn.upf
Sn 118.71 Sn.upf
Sb 121.76 Sb.upf
ATOMIC_POSITIONS angstrom
Zn 0.000 2.603 0.000
Zn 0.000 0.000 2.603
Sn 2.603 2.603 2.603
Sb 0.000 0.000 0.000
Zn 2.603 0.000 0.000
CELL_PARAMETERS angstrom
5.205 0.000 0.000
0.000 5.205 0.000
0.000 0.000 5.205
! **Space-group type**: Pm-3m (221)
! **Offset from the most stable computed form**: 0.0 meV per atom
! **Density of states at the Fermi level**: 3.83 states/eV/f.u.
! **Total energy**: -1.84 eV per atom
! **Formation energy (no corrections)**: 0.554 eV/atom

---

[3]
! PBE SrYTi2Nb, relaxed; values from VASP
&SYSTEM
  ibrav = 0, nat = 5, ntyp = 4
/
ATOMIC_SPECIES
Y 88.91 Y.upf
Sr 87.62 Sr.upf
Nb 92.91 Nb.upf
Ti 47.87 Ti.upf
ATOMIC_POSITIONS angstrom
Y 0.000 0.000 0.000
Sr -3.788 -2.318 0.558
Nb -1.574 -0.789 -1.905
Ti -0.171 -2.325 1.104
Ti -2.043 0.795 1.359
CELL_PARAMETERS angstrom
-4.087 1.591 2.717
-3.147 -1.577 -3.810
-0.342 -4.650 2.208
! **Space-group type**: P4/mmm (123)
! **Density of states at the Fermi level**: 7.55 states/eV/f.u.
! **Total energy**: -5.44 eV per atom
! **DFT formation energy**: 1.366 eV/atom

---

[4]
! PBE Np2SiPd6, relaxed; values from VASP
&SYSTEM
  ibrav = 0, nat = 9, ntyp = 3
/
ATOMIC_SPECIES
Pd 106.42 Pd.upf
Si 28.09 Si.upf
Np 237.00 Np.upf
ATOMIC_POSITIONS angstrom
Pd 1.794 -4.036 2.017
Si 0.000 0.000 0.000
Np 1.897 -6.576 0.441
Pd -0.861 -4.470 1.020
Pd 0.634 -2.316 0.144
Np -0.964 -1.930 2.595
Pd 0.045 -4.384 -1.593
Pd 0.888 -4.122 4.630
Pd 0.299 -6.190 2.893
CELL_PARAMETERS angstrom
-1.850 -0.175 5.339
-1.375 -4.076 -3.603
4.159 -4.255 1.301
! **Space-group type**: C2/m (12)
! **Density of states at the Fermi level**: 23.07 states/eV/f.u.
! **Total energy**: -7.38 eV per atom
! **Formation energy (no corrections)**: -0.436 eV/atom

---

Among the records above, which one has the highest density of states at the Fermi level?
Np2SiPd6